# 1
Computed, not measured: an optimized crystal structure of Zn2TeO at the GGA-PBE level of DFT.

Computed properties:
M_tot   0.00 μB per cell
SG   Cm, No. 8
Excess energy over the best structure of this formula in the dataset   0.188 eV/atom
Raw formation energy   -0.595 eV/atom

Cell and atoms, written as POSCAR:
```
Zn2TeO
1.0
6.5663 0.0000 0.0000
0.0000 3.7862 0.0000
-2.1986 0.0000 6.4853
Zn Te O
4 2 2
direct
0.0000 0.0000 0.0000
0.0436 0.5000 0.6320
0.5000 0.5000 0.0000
0.5436 0.0000 0.6320
0.4044 0.0000 0.2129
0.9044 0.5000 0.2129
0.3996 0.5000 0.6991
0.8996 0.0000 0.6991
```

=====

# 2
Computed, not measured: an optimized crystal structure of Pu3Sb2Pd6 at the GGA-PBE level of DFT.

Computed properties:
M_tot   33.48 μB per cell
SG   Im-3m, No. 229
Raw formation energy   -0.559 eV/atom

Cell and atoms, written as POSCAR:
```
Pu3Sb2Pd6
1.0
-4.8221 4.8221 4.8221
4.8221 -4.8221 4.8221
4.8221 4.8221 -4.8221
Pu Sb Pd
6 4 12
direct
0.0000 0.2755 0.2755
0.0000 0.7245 0.7245
0.2755 0.0000 0.2755
0.2755 0.2755 0.0000
0.7245 0.0000 0.7245
0.7245 0.7245 0.0000
0.0000 0.0000 0.5000
0.0000 0.5000 0.0000
0.5000 0.0000 0.0000
0.5000 0.5000 0.5000
0.0000 0.3471 0.6529
0.0000 0.6529 0.3471
0.3059 0.6529 0.6529
0.3471 0.0000 0.6529
0.3471 0.3471 0.6941
0.3471 0.6529 0.0000
0.3471 0.6941 0.3471
0.6529 0.0000 0.3471
0.6529 0.3059 0.6529
0.6529 0.3471 0.0000
0.6529 0.6529 0.3059
0.6941 0.3471 0.3471
```

=====

# 3
Computed, not measured: an optimized crystal structure of Y2Mg3Pt4 at the GGA-PBE level of DFT.

Computed properties:
Energy of formation from the pure elements   -8.400 eV per formula unit
M_tot   0.00 μB per cell
SG   Cmce, No. 64
Excess energy over the best structure of this formula in the dataset   0.051 eV/atom

Cell and atoms, written as POSCAR:
```
Y2Mg3Pt4
1.0
2.8667 -8.0899 0.0000
2.8667 8.0899 0.0000
0.0000 0.0000 7.5511
Y Mg Pt
4 6 8
direct
0.1020 0.8980 0.9069
0.3980 0.6020 0.4069
0.6020 0.3980 0.5931
0.8980 0.1020 0.0931
0.0000 0.0000 0.5000
0.0220 0.4780 0.7500
0.4780 0.0220 0.2500
0.5000 0.5000 0.0000
0.5220 0.9780 0.7500
0.9780 0.5220 0.2500
0.1690 0.8310 0.5390
0.1874 0.3126 0.7500
0.3126 0.1874 0.2500
0.3310 0.6690 0.0390
0.6690 0.3310 0.9610
0.6874 0.8126 0.7500
0.8126 0.6874 0.2500
0.8310 0.1690 0.4610
```

=====

# 4
Computed, not measured: an optimized crystal structure of NaMo3Se at the GGA-PBE level of DFT.

Computed properties:
M_tot   0.00 μB per cell
SG   Pm-3m, No. 221
Excess energy over the best structure of this formula in the dataset   0.000 eV/atom
Raw formation energy   1.252 eV/atom

Cell and atoms, written as POSCAR:
```
NaMo3Se
1.0
4.6923 0.0000 0.0000
0.0000 4.6923 0.0000
0.0000 0.0000 4.6923
Na Mo Se
1 3 1
direct
0.0000 0.0000 0.0000
0.0000 0.5000 0.5000
0.5000 0.0000 0.5000
0.5000 0.5000 0.0000
0.5000 0.5000 0.5000
```

=====

# 5
Computed, not measured: an optimized crystal structure of Te4WAu at the GGA-PBE level of DFT.

Computed properties:
M_tot   0.00 μB per cell
SG   P1, No. 1
Excess energy over the best structure of this formula in the dataset   0.000 eV/atom
Raw formation energy   0.197 eV/atom

Cell and atoms, written as POSCAR:
```
Te4WAu
1.0
5.0385 0.0000 0.0000
-0.9370 5.0267 0.0000
-0.5264 -0.7531 6.9863
Te W Au
4 1 1
direct
0.0000 0.0000 0.0000
0.0308 0.6112 0.5282
0.4313 0.5681 0.9939
0.5492 0.0868 0.5599
0.8574 0.4159 0.8395
0.6820 0.2629 0.2204
```

=====

# 6
Computed, not measured: an optimized crystal structure of LiPmSnHg at the GGA-PBE level of DFT.

Computed properties:
Energy of formation from the pure elements   -2.117 eV per formula unit
M_tot   0.00 μB per cell
SG   F-43m, No. 216

Cell and atoms, written as POSCAR:
```
LiPmSnHg
1.0
7.3400 0.0000 0.0000
0.0000 7.3400 0.0000
0.0000 0.0000 7.3400
Li Pm Sn Hg
4 4 4 4
direct
0.0000 0.0000 0.0000
0.0000 0.5000 0.5000
0.5000 0.0000 0.5000
0.5000 0.5000 0.0000
0.0000 0.0000 0.5000
0.0000 0.5000 0.0000
0.5000 0.0000 0.0000
0.5000 0.5000 0.5000
0.2500 0.2500 0.2500
0.2500 0.7500 0.7500
0.7500 0.2500 0.7500
0.7500 0.7500 0.2500
0.2500 0.2500 0.7500
0.2500 0.7500 0.2500
0.7500 0.2500 0.2500
0.7500 0.7500 0.7500
```

=====

# 7
Computed, not measured: an optimized crystal structure of RbTl at the GGA-PBE level of DFT.

Computed properties:
Energy of formation from the pure elements   -0.095 eV per formula unit
M_tot   0.00 μB per cell
SG   Imma, No. 74
Excess energy over the best structure of this formula in the dataset   0.012 eV/atom

Cell and atoms, written as POSCAR:
```
RbTl
1.0
4.3649 0.0000 0.0000
0.0000 6.5101 0.0000
0.0000 0.0000 12.7032
Rb Tl
4 4
direct
0.0000 0.2500 0.0982
0.0000 0.7500 0.9018
0.5000 0.2500 0.4018
0.5000 0.7500 0.5982
0.0000 0.2500 0.6630
0.0000 0.7500 0.3370
0.5000 0.2500 0.8370
0.5000 0.7500 0.1630
```

=====

# 8
Computed, not measured: an optimized crystal structure of AcCdRhPb at the GGA-PBE level of DFT.

Computed properties:
Energy of formation from the pure elements   -0.874 eV per formula unit
M_tot   0.00 μB per cell
SG   F-43m, No. 216

Cell and atoms, written as POSCAR:
```
AcCdRhPb
1.0
7.4219 0.0000 0.0000
0.0000 7.4219 0.0000
0.0000 0.0000 7.4219
Ac Cd Rh Pb
4 4 4 4
direct
0.0000 0.0000 0.0000
0.0000 0.5000 0.5000
0.5000 0.0000 0.5000
0.5000 0.5000 0.0000
0.2500 0.2500 0.2500
0.2500 0.7500 0.7500
0.7500 0.2500 0.7500
0.7500 0.7500 0.2500
0.2500 0.2500 0.7500
0.2500 0.7500 0.2500
0.7500 0.2500 0.2500
0.7500 0.7500 0.7500
0.0000 0.0000 0.5000
0.0000 0.5000 0.0000
0.5000 0.0000 0.0000
0.5000 0.5000 0.5000
```

=====

# 9
Computed, not measured: an optimized crystal structure of MgScTa at the GGA-PBE level of DFT.

Computed properties:
Energy of formation from the pure elements   0.444 eV per formula unit
M_tot   0.00 μB per cell
SG   P1, No. 1
Excess energy over the best structure of this formula in the dataset   0.088 eV/atom

Cell and atoms, written as POSCAR:
```
MgScTa
1.0
2.9550 0.0000 0.0000
1.3434 5.8211 0.0000
1.4360 1.3492 7.3445
Mg Sc Ta
2 2 2
direct
0.0000 0.0000 0.0000
0.0027 0.4999 0.0003
0.2667 0.1806 0.3514
0.7277 0.8168 0.6494
0.4158 0.6591 0.3453
0.5787 0.3386 0.6550
```

=====

# 10
Computed, not measured: an optimized crystal structure of LiP2W at the GGA-PBE level of DFT.

Computed properties:
Energy of formation from the pure elements   0.239 eV per formula unit
M_tot   2.36 μB per cell
SG   I-42d, No. 122
Excess energy over the best structure of this formula in the dataset   0.400 eV/atom

Cell and atoms, written as POSCAR:
```
LiP2W
1.0
5.7753 0.0000 0.0000
0.0000 5.7753 0.0000
0.0000 0.0000 10.6677
Li P W
4 8 4
direct
0.0000 0.0000 0.0000
0.0000 0.5000 0.2500
0.5000 0.0000 0.7500
0.5000 0.5000 0.5000
0.2132 0.2500 0.6250
0.2500 0.7132 0.8750
0.2500 0.7868 0.3750
0.2868 0.2500 0.1250
0.7132 0.7500 0.1250
0.7500 0.2132 0.3750
0.7500 0.2868 0.8750
0.7868 0.7500 0.6250
0.0000 0.0000 0.5000
0.0000 0.5000 0.7500
0.5000 0.0000 0.2500
0.5000 0.5000 0.0000
```

=====

# 11
Computed, not measured: an optimized crystal structure of La6Ag2Ir at the GGA-PBE level of DFT.

Computed properties:
Energy of formation from the pure elements   -2.598 eV per formula unit
M_tot   0.00 μB per cell
SG   P2_1/c, No. 14
Excess energy over the best structure of this formula in the dataset   0.000 eV/atom

Cell and atoms, written as POSCAR:
```
La6Ag2Ir
1.0
6.9563 0.0000 0.0000
0.0000 7.8217 0.0000
-6.3551 0.0000 10.8398
La Ag Ir
12 4 2
direct
0.1171 0.0323 0.2535
0.1171 0.4677 0.7535
0.2263 0.6782 0.0572
0.2263 0.8218 0.5572
0.3822 0.1957 0.0579
0.3822 0.3043 0.5579
0.6178 0.6957 0.4421
0.6178 0.8043 0.9421
0.7737 0.1782 0.4428
0.7737 0.3218 0.9428
0.8829 0.5323 0.2465
0.8829 0.9677 0.7465
0.3308 0.1040 0.7663
0.3308 0.3960 0.2663
0.6692 0.6040 0.7337
0.6692 0.8960 0.2337
0.0000 0.0000 0.0000
0.0000 0.5000 0.5000
```

=====

# 12
Computed, not measured: an optimized crystal structure of Ba2CaCdMo at the GGA-PBE level of DFT.

Computed properties:
Energy of formation from the pure elements   5.754 eV per formula unit
M_tot   1.89 μB per cell
SG   P4/mmm, No. 123

Cell and atoms, written as POSCAR:
```
Ba2CaCdMo
1.0
6.5636 0.0000 0.0000
0.0000 6.5636 0.0000
0.0000 0.0000 4.9700
Ba Ca Cd Mo
2 1 1 1
direct
0.0000 0.5000 0.0000
0.5000 0.0000 0.0000
0.0000 0.0000 0.0000
0.5000 0.5000 0.5000
0.0000 0.0000 0.5000
```

=====

no.,DOS(E_F) (states/eV/atom)
1,0.2223
2,3.1347
3,0.5277
4,1.6971
5,0.6000
6,0.3088
7,0.7118
8,0.9387
9,0.9124
10,0.7757
11,1.3475
12,1.2693